(1)
Compound: NaHoPtO4
Source: Alexandria
Functional: PBE
Structure: optimized geometry

```
NaHoPtO4
1.0
-5.593 3.277 -0.223
3.214 -1.310 -5.533
-3.047 -4.949 3.674
Pt O Na Ho
2 8 2 2
direct
0.000 0.500 0.500
0.500 0.500 0.500
0.260 0.960 0.730
0.740 0.040 0.270
0.753 0.506 0.311
0.753 0.506 0.695
0.300 0.040 0.270
0.700 0.960 0.730
0.247 0.494 0.689
0.247 0.494 0.305
0.886 0.772 0.136
0.114 0.228 0.864
0.500 0.000 0.000
0.500 0.000 0.500
```

The value obtained for the uncorrected formation energy is -12.9 eV per formula unit.

(2)
Compound: Na3Ho3PuO8
Source: Alexandria
Functional: PBE
Structure: optimized geometry

```
Na3Ho3PuO8
1.0
6.868 0.000 0.000
-3.434 5.947 -0.021
0.000 -3.946 5.621
Na Ho O Pu
3 3 8 1
direct
0.500 0.500 0.000
0.000 0.500 0.000
0.000 0.000 0.000
0.500 0.500 0.500
0.500 0.000 0.500
0.000 0.500 0.500
0.228 0.456 0.699
0.743 0.971 0.699
0.772 0.029 0.301
0.736 0.471 0.707
0.257 0.029 0.301
0.772 0.544 0.301
0.264 0.529 0.293
0.228 0.971 0.699
0.000 0.000 0.500
```

The value obtained for the uncorrected formation energy is -42.3 eV per formula unit.

(3)
Compound: Na2Ho2PuO6
Source: Alexandria
Functional: PBE
Structure: optimized geometry

```
Na2Ho2PuO6
1.0
5.962 -0.024 0.087
-2.967 5.171 0.087
-1.044 -1.795 5.562
O Ho Pu Na
6 2 1 2
direct
0.393 0.052 0.698
0.607 0.948 0.302
0.252 0.252 0.304
0.748 0.748 0.696
0.052 0.393 0.698
0.948 0.607 0.302
0.335 0.665 0.500
0.665 0.335 0.500
0.000 0.000 0.500
0.830 0.170 0.000
0.170 0.830 0.000
```

The value obtained for the uncorrected formation energy is -31.0 eV per formula unit.

Number 1: calculated total energy -89.4 eV/cell. Number 2: calculated total energy -114.0 eV/cell. Number 3: calculated total energy -86.9 eV/cell.